Compound: Tb2Nd6Ho3Tm
Source: Alexandria via LeMat-Bulk
Functional: PBE
Structure: optimized geometry

As for the density of states at the Fermi level: 13.31 states/eV/f.u. Its space group is No. 12. As for the volume: 32.99 Å³ per atom. Its formation enthalpy at 0 K is 0.012 eV/atom.

a = 6.2630 Å, b = 6.2630 Å, c = 11.8373 Å
α = 95.04°, β = 95.04°, γ = 120.00°
Fractional coordinates of all 12 atoms:
Tb 0.1667 0.8333 0.0000
Tb 0.8333 0.1667 0.0000
Nd 0.0833 0.4162 0.7497
Nd 0.2508 0.2508 0.2505
Nd 0.4162 0.0833 0.7497
Nd 0.5838 0.9167 0.2503
Nd 0.7492 0.7492 0.7495
Nd 0.9167 0.5838 0.2503
Ho 0.0000 0.0000 0.5000
Ho 0.3335 0.6665 0.5000
Ho 0.6665 0.3335 0.5000
Tm 0.5000 0.5000 0.0000